Version a
The following is a DFT calculation (SCAN) of Li3PbN at its PBEsol-relaxed geometry.

Cell lengths 5.317, 5.317, 5.317 Å; angles 90.00, 90.00, 90.00 degrees
Sites, in units of the cell vectors:
Pb: 0.000 0.000 0.000
Li: 0.000 0.500 0.000
Li: 0.500 0.000 0.000
Li: 0.000 0.000 0.500
N: 0.500 0.500 0.500

Its density of states at the Fermi level is 1.665 states/eV per cell. The magnetic moment comes out at 4.02 μB/cell.

=====

Version b
The following is a DFT calculation (SCAN) of Li3PbN at its PBEsol-relaxed geometry.

Cell lengths 4.090, 4.090, 4.090 Å; angles 90.00, 90.00, 90.00 degrees
Sites, in units of the cell vectors:
Li: 0.000 0.500 0.000
Pb: 0.500 0.500 0.500
N: 0.000 0.000 0.000
Li: 0.500 0.000 0.000
Li: 0.000 0.000 0.500

Its density of states at the Fermi level is 2.255 states/eV per cell. The magnetic moment comes out at 0.00 μB/cell.

=====

Most stable of them? version b.

=====

Version a
The following is a DFT calculation (SCAN) of LiRhSeN2 at its PBEsol-relaxed geometry.

Cell lengths 3.618, 3.618, 4.364 Å; angles 90.00, 90.00, 90.00 degrees
Sites, in units of the cell vectors:
N: 0.500 0.000 0.000
Rh: 0.500 0.500 0.500
Se: 0.000 0.000 0.500
N: 0.000 0.500 0.000
Li: 0.000 0.000 0.000

Its density of states at the Fermi level is 3.580 states/eV per cell. The magnetic moment comes out at 1.80 μB/cell.

=====

Version b
The following is a DFT calculation (SCAN) of LiRhSeN2 at its PBEsol-relaxed geometry.

Cell lengths 3.720, 3.720, 5.374 Å; angles 90.00, 90.00, 90.00 degrees
Sites, in units of the cell vectors:
Se: 0.000 0.000 0.500
N: 0.000 0.500 0.000
Rh: 0.000 0.000 0.000
Li: 0.500 0.500 0.500
N: 0.500 0.000 0.000

Its density of states at the Fermi level is 3.122 states/eV per cell. The magnetic moment comes out at 0.00 μB/cell.

=====

Most stable of them? version b.

=====

Version a
The following is a DFT calculation (SCAN) of Li3SnN at its PBEsol-relaxed geometry.

Cell lengths 4.052, 4.052, 4.052 Å; angles 90.00, 90.00, 90.00 degrees
Sites, in units of the cell vectors:
Sn: 0.500 0.500 0.500
Li: 0.500 0.000 0.000
Li: 0.000 0.000 0.500
Li: 0.000 0.500 0.000
N: 0.000 0.000 0.000

Its density of states at the Fermi level is 2.121 states/eV per cell. The magnetic moment comes out at 0.00 μB/cell.

=====

Version b
The following is a DFT calculation (SCAN) of Li3SnN at its PBEsol-relaxed geometry.

Cell lengths 5.276, 5.276, 5.276 Å; angles 90.00, 90.00, 90.00 degrees
Sites, in units of the cell vectors:
N: 0.500 0.500 0.500
Li: 0.000 0.500 0.000
Sn: 0.000 0.000 0.000
Li: 0.000 0.000 0.500
Li: 0.500 0.000 0.000

Its density of states at the Fermi level is 1.588 states/eV per cell. The magnetic moment comes out at 4.00 μB/cell.

=====

Most stable of them? version a.